Compound: InFeSe2
Source: the Alexandria database
Functional: PBE-GGA
Structure: optimized geometry

Calculated values
volume: 92.99 Å³ per cell
E_tot: -4.617 eV/atom
total moment: 1.44 μB per cell
formation energy without anion corrections: -74 meV per atom

Structure (extended XYZ):
```
4
Lattice="6.5291 0.0989 0.0056 3.9428 5.2052 -0.0056 -4.9095 -3.2965 2.7693" Properties=species:S:1:pos:R:3 pbc="T T T"
Se 9.3389 4.7302 0.0000
Se 6.3690 3.2259 0.0000
Fe 3.4278 -0.2728 1.3874
In 2.1346 2.2803 1.3819
```